Arrangement 1

DFT (PBE) results for crystalline CaTl3In at its relaxed geometry.

POSCAR file:
```
CaTl3In
1.0
5.637 0.000 0.000
0.000 5.528 -2.593
0.000 0.392 9.147
In Tl Ca
2 6 2
Cartesian
0.087 0.260 2.660
2.905 4.133 -1.143
0.087 4.944 6.165
0.087 1.532 5.729
2.905 5.369 1.907
2.905 1.901 1.725
0.087 2.492 -0.208
2.905 3.253 4.935
2.905 1.107 7.673
0.087 3.678 2.991
```

Calculated values
- V: 29.07 Å³/atom



Arrangement 2

DFT (PBE) results for crystalline CaTl3In at its relaxed geometry.

POSCAR file:
```
CaTl3In
1.0
-2.159 4.307 0.916
-6.375 -3.742 2.567
2.999 -0.062 7.357
In Ca Tl
2 2 6
Cartesian
-2.976 0.255 4.909
1.708 -0.035 4.190
-0.261 2.136 2.467
-1.008 -1.916 6.631
-1.021 -1.106 2.790
-3.688 -2.671 3.863
-4.152 0.280 2.025
2.883 -0.060 7.074
-0.247 1.326 6.309
-3.955 -0.851 7.802
```

Calculated values
- V: 30.49 Å³/atom



Order of stability, best first: arrangement 1, arrangement 2